Below is a geometry-optimized HfGaHRh2 structure, with properties calculated at the PBE level.

VASP energy: -6.74 eV per atom
space group: P4/mmm (123)
N(E_F): 0.460 states/eV per atom

a = 4.061 Å, b = 4.061 Å, c = 3.990 Å
α = 90.00°, β = 90.00°, γ = 90.00°
Fractional coordinates of all 5 atoms:
1 Hf 0.000 0.000 0.500
2 Ga 0.500 0.500 0.500
3 Rh 0.500 0.000 0.000
4 Rh 0.000 0.500 0.000
5 H 0.000 0.000 0.000